The following is a GGA-PBE calculation of crystalline B5C7 at its relaxed geometry, from Alexandria via LeMat-Bulk.

ΔH_f (0 K) in eV/atom: 0.3412
Offset from the most stable computed form in eV per atom: 0.083
Fermi-level density of states in states/eV/f.u.: 0.34
Crystal system: monoclinic

```
12
Lattice="2.613 0.000 0.000 0.000 3.841 0.059 0.000 0.123 8.158" Properties=species:S:1:pos:R:3 pbc="T T T"
C 0.000 3.907 5.508
C 1.307 2.913 2.870
C 0.000 1.089 6.693
C 1.307 2.082 4.165
C 1.307 1.972 6.711
C 0.000 1.009 1.356
C 1.307 3.028 5.495
B 0.000 0.114 0.021
B 1.307 2.961 7.894
B 0.000 3.635 2.469
B 1.307 1.738 1.729
B 0.000 1.252 4.422
```

=====

The following is a GGA-PBE calculation of crystalline Li2H2Cl3 at its relaxed geometry, from Alexandria via LeMat-Bulk.

Crystal system: triclinic
Calculated total energy in eV per atom: -3.0588

```
7
Lattice="3.772 -0.218 -1.867 -1.482 7.381 1.535 -5.552 1.461 7.750" Properties=species:S:1:pos:R:3 pbc="T T T"
H -3.122 1.138 5.220
H -0.140 7.486 2.198
Li -3.959 4.527 6.166
Li 0.697 4.098 1.252
Cl 0.000 0.000 0.000
Cl -1.127 3.081 2.445
Cl -2.134 5.544 4.973
```

=====

What is the formula in the first record? B5C7